[1]
DFT (PBE) results for crystalline TcAs3 at its relaxed geometry.

Properties
- energy of formation from the pure elements (eV per atom) = 0.349
- density of states at the Fermi level (states/eV/atom) = 0.393

Unit cell a=10.550 b=10.550 c=10.550 alpha=159.12 beta=159.12 gamma=29.70
Fractional coordinates of all 8 atoms:
1 Tc 0.672 0.672 0.000
2 Tc 0.328 0.328 0.000
3 As 0.000 0.500 0.500
4 As 0.500 0.000 0.500
5 As 0.750 0.250 0.500
6 As 0.250 0.750 0.500
7 As 0.887 0.887 0.000
8 As 0.113 0.113 0.000

[2]
DFT (PBE) results for crystalline TcAs3 at its relaxed geometry.

Properties
- energy of formation from the pure elements (eV per atom) = 0.065
- density of states at the Fermi level (states/eV/atom) = 0.480

Unit cell a=4.937 b=4.937 c=4.937 alpha=133.48 beta=120.60 gamma=78.63
Fractional coordinates of all 4 atoms:
1 As 0.679 0.687 0.992
2 As 0.305 0.313 0.992
3 As 0.080 0.500 0.580
4 Tc 0.769 0.000 0.769

[3]
DFT (PBE) results for crystalline Tc3As at its relaxed geometry.

Properties
- energy of formation from the pure elements (eV per atom) = 0.269
- density of states at the Fermi level (states/eV/atom) = 0.859

Unit cell a=4.993 b=4.993 c=4.993 alpha=116.41 beta=116.41 gamma=116.41
Fractional coordinates of all 4 atoms:
1 As 0.000 0.000 0.000
2 Tc 0.500 0.000 0.500
3 Tc 0.500 0.500 0.000
4 Tc 0.000 0.500 0.500

[4]
DFT (PBE) results for crystalline Tc3As at its relaxed geometry.

Properties
- energy of formation from the pure elements (eV per atom) = -0.009
- density of states at the Fermi level (states/eV/atom) = 0.797

Unit cell a=5.145 b=5.145 c=5.145 alpha=146.25 beta=129.32 gamma=62.28
Fractional coordinates of all 4 atoms:
1 As 0.000 0.000 0.000
2 Tc 0.774 0.274 0.500
3 Tc 0.500 0.500 0.000
4 Tc 0.226 0.726 0.500

[5]
DFT (PBE) results for crystalline Tc2As at its relaxed geometry.

Properties
- energy of formation from the pure elements (eV per atom) = -0.064
- density of states at the Fermi level (states/eV/atom) = 1.016

Unit cell a=6.989 b=6.989 c=4.505 alpha=90.00 beta=90.00 gamma=155.95
Fractional coordinates of all 6 atoms:
1 As 0.014 0.986 0.000
2 As 0.430 0.570 0.500
3 Tc 0.339 0.661 0.000
4 Tc 0.673 0.327 0.000
5 Tc 0.772 0.228 0.500
6 Tc 0.106 0.894 0.500

[6]
DFT (PBE) results for crystalline TcAs at its relaxed geometry.

Properties
- energy of formation from the pure elements (eV per atom) = -0.061
- density of states at the Fermi level (states/eV/atom) = 1.017

Unit cell a=3.076 b=3.076 c=3.076 alpha=90.00 beta=90.00 gamma=90.00
Fractional coordinates of all 2 atoms:
1 As 0.500 0.500 0.500
2 Tc 0.000 0.000 0.000